Here is crystalline LiZn2Fe9O16 at its relaxed geometry from Alexandria. Energies are from PBE+U.

```
LiZn2Fe9O16
1.0
2.936 5.182 0.042
-2.936 5.182 0.042
0.000 3.590 9.715
Li Zn Fe O
1 2 9 16
Direct
0.130 0.130 0.625
0.062 0.062 0.313
0.313 0.313 0.063
0.000 0.000 0.994
0.628 0.628 0.130
0.491 0.491 0.498
0.060 0.557 0.313
0.557 0.060 0.313
0.567 0.567 0.810
0.810 0.810 0.568
0.571 0.060 0.811
0.060 0.571 0.811
0.953 0.442 0.193
0.442 0.953 0.193
0.428 0.428 0.201
0.199 0.199 0.416
0.928 0.928 0.196
0.690 0.690 0.426
0.153 0.682 0.438
0.682 0.153 0.438
0.477 0.921 0.699
0.921 0.477 0.699
0.924 0.924 0.706
0.698 0.698 0.929
0.430 0.430 0.697
0.200 0.200 0.923
0.203 0.673 0.923
0.673 0.203 0.923
```

Summary:
Total magnetic moment in μB/atom: 0.749
Final energy in eV/atom: -6.004
Space-group type: Cm (8)